# Er5Tl3

Er5Tl3 after structural relaxation (PBE, OQMD).

The structure in POSCAR format:
```
Er5Tl3
1.0
-2.171 -5.654 6.560
3.570 -3.106 -7.571
5.963 0.659 2.541
Er Tl
10 6
Direct
0.667 0.333 0.000
0.333 0.667 0.000
0.765 0.765 0.250
0.235 0.000 0.250
0.000 0.235 0.250
0.667 0.333 0.500
0.333 0.667 0.500
0.235 0.235 0.750
0.765 0.000 0.750
0.000 0.765 0.750
0.599 0.000 0.250
0.000 0.599 0.250
0.401 0.401 0.250
0.401 0.000 0.750
0.000 0.401 0.750
0.599 0.599 0.750
```

Results
M_tot, μB per formula unit: 0.02
Total DFT energy (no corrections), eV per atom: -4.032
Symmetry: P6_3/mcm, No. 193